# 1
Below is a geometry-optimized CaPd2Pb4 structure, with properties calculated at the PBE level. Values from VASP.

## Properties
The formation energy is -0.37 eV/atom. The value obtained for the total energy is -4.25 eV per atom. The value obtained for the density of states at the Fermi level is 0.39 states/eV/atom. Its magnetization is 0.00 μB per cell.

Geometry as Quantum ESPRESSO input:
```
&SYSTEM
  ibrav = 0, nat = 28, ntyp = 3
/
ATOMIC_SPECIES
Pb 207.20 Pb.upf
Ca 40.08 Ca.upf
Pd 106.42 Pd.upf
ATOMIC_POSITIONS crystal
Pb 0.250 0.247 0.691
Pb 0.750 0.753 0.309
Pb 0.750 0.747 0.809
Pb 0.250 0.253 0.191
Pb 0.250 0.666 0.684
Pb 0.750 0.334 0.316
Pb 0.750 0.166 0.816
Pb 0.250 0.834 0.184
Pb 0.250 0.137 0.531
Pb 0.750 0.863 0.469
Pb 0.750 0.637 0.969
Pb 0.250 0.363 0.031
Pb 0.250 0.502 0.432
Pb 0.750 0.498 0.568
Pb 0.750 0.002 0.068
Pb 0.250 0.998 0.932
Ca 0.750 0.954 0.644
Ca 0.250 0.046 0.356
Ca 0.250 0.454 0.856
Ca 0.750 0.546 0.144
Pd 0.250 0.761 0.545
Pd 0.750 0.239 0.455
Pd 0.750 0.261 0.955
Pd 0.250 0.739 0.045
Pd 0.250 0.953 0.780
Pd 0.750 0.047 0.220
Pd 0.750 0.453 0.720
Pd 0.250 0.547 0.280
CELL_PARAMETERS angstrom
-4.072 -1.121 -1.720
-1.334 -4.646 6.188
-8.242 15.178 9.617
```

***

# 2
Below is a geometry-optimized Gd2HoPt structure, with properties calculated at the PBE level. Values from VASP.

## Properties
The formation energy is -0.55 eV/atom. The value obtained for the total energy is -10.24 eV per atom. The value obtained for the density of states at the Fermi level is 1.46 states/eV/atom. Its magnetization is 14.83 μB per cell. Its energy above the most stable polymorph in this dataset is 0 meV per atom.

Geometry as Quantum ESPRESSO input:
```
&SYSTEM
  ibrav = 0, nat = 4, ntyp = 3
/
ATOMIC_SPECIES
Gd 157.25 Gd.upf
Ho 164.93 Ho.upf
Pt 195.08 Pt.upf
ATOMIC_POSITIONS crystal
Gd 0.000 0.000 0.802
Gd 0.000 0.000 0.198
Ho 0.500 0.500 0.500
Pt 0.500 0.500 0.000
CELL_PARAMETERS angstrom
-2.377 2.018 -1.816
0.601 -1.963 -2.967
-6.130 -5.224 2.215
```

***

# 3
Below is a geometry-optimized ZrAl3Ni structure, with properties calculated at the PBE level. Values from VASP.

## Properties
The formation energy is 1.39 eV/atom. The value obtained for the total energy is -3.72 eV per atom. The value obtained for the density of states at the Fermi level is 0.82 states/eV/atom. Its magnetization is 0.53 μB per cell.

Geometry as Quantum ESPRESSO input:
```
&SYSTEM
  ibrav = 0, nat = 5, ntyp = 3
/
ATOMIC_SPECIES
Ni 58.69 Ni.upf
Al 26.98 Al.upf
Zr 91.22 Zr.upf
ATOMIC_POSITIONS crystal
Ni 0.500 0.500 0.500
Al 0.000 0.500 0.000
Al 0.000 0.000 0.500
Al 0.500 0.000 0.000
Zr 0.000 0.000 0.000
CELL_PARAMETERS angstrom
5.133 0.000 0.000
0.000 5.133 0.000
0.000 0.000 5.133
```

***

# 4
Below is a geometry-optimized Tb2TmRh2 structure, with properties calculated at the PBE level. Values from VASP.

## Properties
The formation energy is -0.71 eV/atom. The value obtained for the total energy is -6.40 eV per atom. The value obtained for the density of states at the Fermi level is 0.57 states/eV/atom. Its magnetization is 0.00 μB per cell. Its energy above the most stable polymorph in this dataset is 0 meV per atom.

Geometry as Quantum ESPRESSO input:
```
&SYSTEM
  ibrav = 0, nat = 10, ntyp = 3
/
ATOMIC_SPECIES
Tb 158.93 Tb.upf
Tm 168.93 Tm.upf
Rh 102.91 Rh.upf
ATOMIC_POSITIONS crystal
Tb 0.900 0.799 0.150
Tb 0.365 0.729 0.828
Tb 0.100 0.201 0.650
Tb 0.635 0.271 0.328
Tm 0.653 0.306 0.956
Tm 0.347 0.694 0.456
Rh 0.239 0.477 0.145
Rh 0.009 0.018 0.906
Rh 0.761 0.523 0.645
Rh 0.991 0.982 0.406
CELL_PARAMETERS angstrom
3.939 0.000 0.000
-1.969 6.365 0.000
0.000 0.000 9.664
```

***

# 5
Below is a geometry-optimized ZrCuAs structure, with properties calculated at the PBE level. Values from VASP.

## Properties
The formation energy is -0.25 eV/atom. The value obtained for the total energy is -6.01 eV per atom. The value obtained for the density of states at the Fermi level is 0.55 states/eV/atom. Its magnetization is 0.00 μB per cell.

Geometry as Quantum ESPRESSO input:
```
&SYSTEM
  ibrav = 0, nat = 3, ntyp = 3
/
ATOMIC_SPECIES
As 74.92 As.upf
Cu 63.55 Cu.upf
Zr 91.22 Zr.upf
ATOMIC_POSITIONS crystal
As 0.750 0.750 0.750
Cu 0.000 0.000 0.000
Zr 0.500 0.500 0.500
CELL_PARAMETERS angstrom
4.314 0.000 0.000
2.157 3.736 0.000
2.157 1.245 3.522
```

***

# 6
Below is a geometry-optimized K3NdY2Te6 structure, with properties calculated at the PBE level. Values from VASP.

## Properties
The value obtained for the total energy is -4.73 eV per atom. Its magnetization is 0.00 μB per cell.

Geometry as Quantum ESPRESSO input:
```
&SYSTEM
  ibrav = 0, nat = 12, ntyp = 4
/
ATOMIC_SPECIES
K 39.10 K.upf
Nd 144.24 Nd.upf
Y 88.91 Y.upf
Te 127.60 Te.upf
ATOMIC_POSITIONS crystal
K 0.165 0.835 0.500
K 0.835 0.165 0.500
K 0.500 0.500 0.500
Nd 0.000 0.000 0.000
Y 0.333 0.667 0.000
Y 0.667 0.333 0.000
Te 0.930 0.589 0.789
Te 0.730 0.730 0.210
Te 0.070 0.411 0.211
Te 0.589 0.930 0.789
Te 0.270 0.270 0.790
Te 0.411 0.070 0.211
CELL_PARAMETERS angstrom
-7.014 1.059 -3.395
1.595 -6.749 3.707
-1.117 5.070 6.929
```

***

# 7
Below is a geometry-optimized Nb3SbS3 structure, with properties calculated at the PBE level. Values from VASP.

## Properties
The value obtained for the total energy is -7.26 eV per atom. The value obtained for the density of states at the Fermi level is 0.50 states/eV/atom. Its magnetization is 0.00 μB per cell.

Geometry as Quantum ESPRESSO input:
```
&SYSTEM
  ibrav = 0, nat = 14, ntyp = 3
/
ATOMIC_SPECIES
Nb 92.91 Nb.upf
Sb 121.76 Sb.upf
S 32.06 S.upf
ATOMIC_POSITIONS crystal
Nb 0.266 0.493 0.344
Nb 0.897 0.266 0.344
Nb 0.493 0.897 0.344
Nb 0.507 0.103 0.656
Nb 0.103 0.734 0.656
Nb 0.734 0.507 0.656
Sb 0.335 0.335 0.995
Sb 0.665 0.665 0.005
S 0.366 0.820 0.706
S 0.820 0.107 0.706
S 0.107 0.366 0.706
S 0.893 0.634 0.294
S 0.180 0.893 0.294
S 0.634 0.180 0.294
CELL_PARAMETERS angstrom
7.011 0.000 0.000
3.506 6.072 0.000
3.506 2.024 6.767
```

***

# 8
Below is a geometry-optimized NaSbSe3 structure, with properties calculated at the PBE level. Values from VASP.

## Properties
The value obtained for the total energy is -3.58 eV per atom. The value obtained for the density of states at the Fermi level is 0.25 states/eV/atom. Its magnetization is 0.00 μB per cell. Its energy above the most stable polymorph in this dataset is 14 meV per atom.

Geometry as Quantum ESPRESSO input:
```
&SYSTEM
  ibrav = 0, nat = 10, ntyp = 3
/
ATOMIC_SPECIES
Na 22.99 Na.upf
Sb 121.76 Sb.upf
Se 78.96 Se.upf
ATOMIC_POSITIONS crystal
Na 0.370 0.741 0.655
Na 0.630 0.259 0.345
Sb 0.161 0.321 0.862
Sb 0.839 0.679 0.138
Se 0.157 0.313 0.550
Se 0.644 0.288 0.953
Se 0.026 0.051 0.163
Se 0.843 0.687 0.450
Se 0.974 0.949 0.837
Se 0.356 0.712 0.047
CELL_PARAMETERS angstrom
5.274 -0.001 0.000
-2.640 7.676 0.044
0.001 -2.996 7.567
```

***

# 9
Below is a geometry-optimized Ca2Hg2Bi structure, with properties calculated at the PBE level. Values from VASP.

## Properties
The formation energy is -0.52 eV/atom. The value obtained for the total energy is -2.22 eV per atom. The value obtained for the density of states at the Fermi level is 0.59 states/eV/atom. Its magnetization is 0.00 μB per cell. Its energy above the most stable polymorph in this dataset is 0 meV per atom.

Geometry as Quantum ESPRESSO input:
```
&SYSTEM
  ibrav = 0, nat = 10, ntyp = 3
/
ATOMIC_SPECIES
Ca 40.08 Ca.upf
Bi 208.98 Bi.upf
Hg 200.59 Hg.upf
ATOMIC_POSITIONS crystal
Ca 0.171 0.671 0.500
Ca 0.671 0.829 0.500
Ca 0.829 0.329 0.500
Ca 0.329 0.171 0.500
Bi 0.000 0.000 0.000
Bi 0.500 0.500 0.000
Hg 0.375 0.875 0.000
Hg 0.875 0.625 0.000
Hg 0.625 0.125 0.000
Hg 0.125 0.375 0.000
CELL_PARAMETERS angstrom
-7.874 1.133 -3.091
0.818 -7.088 -4.682
-1.469 -2.126 2.962
```

***

# 10
Below is a geometry-optimized Hf3NiOs structure, with properties calculated at the PBE level. Values from VASP.

## Properties
The formation energy is 0.52 eV/atom. The value obtained for the total energy is -8.86 eV per atom. The value obtained for the density of states at the Fermi level is 1.27 states/eV/atom. Its magnetization is 0.00 μB per cell. Its energy above the most stable polymorph in this dataset is 0 meV per atom.

Geometry as Quantum ESPRESSO input:
```
&SYSTEM
  ibrav = 0, nat = 5, ntyp = 3
/
ATOMIC_SPECIES
Hf 178.49 Hf.upf
Os 190.23 Os.upf
Ni 58.69 Ni.upf
ATOMIC_POSITIONS crystal
Hf 0.000 0.500 0.000
Hf 0.000 0.000 0.500
Hf 0.500 0.000 0.000
Os 0.500 0.500 0.500
Ni 0.000 0.000 0.000
CELL_PARAMETERS angstrom
4.672 0.000 0.000
0.000 4.672 0.000
0.000 0.000 4.672
```

***

# 11
Below is a geometry-optimized LaCePm6Dy2 structure, with properties calculated at the PBE level. Values from VASP.

## Properties
The formation energy is 0.23 eV/atom. The value obtained for the total energy is -4.62 eV per atom. The value obtained for the density of states at the Fermi level is 2.35 states/eV/atom. Its magnetization is 1.36 μB per cell.

Geometry as Quantum ESPRESSO input:
```
&SYSTEM
  ibrav = 0, nat = 10, ntyp = 4
/
ATOMIC_SPECIES
La 138.91 La.upf
Ce 140.12 Ce.upf
Pm 145.00 Pm.upf
Dy 162.50 Dy.upf
ATOMIC_POSITIONS crystal
La 0.500 0.000 0.000
Ce 0.000 0.500 0.000
Pm 0.417 0.631 0.262
Pm 0.196 0.068 0.661
Pm 0.804 0.407 0.339
Pm 0.196 0.593 0.661
Pm 0.804 0.932 0.339
Pm 0.583 0.369 0.738
Dy 0.160 0.092 0.184
Dy 0.840 0.908 0.816
CELL_PARAMETERS angstrom
8.940 0.000 1.155
0.000 6.884 0.000
-2.050 -3.442 5.320
```